Entry 1:
Entry from Alexandria: a geometry-optimized NdDy4Ni4 structure (PBE).

Results
* space-group type: P4_2/n (86)
* DOS at the Fermi energy: 0.888 states/eV/atom
* ΔH_f (0 K): -24 kJ per mole of atoms
* total magnetic moment: 0.00 μB/f.u.

Lattice parameters (Å, degrees): 5.604 8.628 8.628 90.00 90.00 90.00
Fractional coordinates of all 18 atoms:
Dy1 0.404 0.321 0.910
Dy2 0.596 0.910 0.679
Dy3 0.404 0.679 0.090
Dy4 0.904 0.590 0.821
Dy5 0.096 0.179 0.590
Dy6 0.096 0.821 0.410
Dy7 0.904 0.410 0.179
Dy8 0.596 0.090 0.321
Ni1 0.391 0.637 0.782
Ni2 0.109 0.137 0.282
Ni3 0.109 0.863 0.718
Ni4 0.391 0.363 0.218
Ni5 0.609 0.218 0.637
Ni6 0.891 0.718 0.137
Ni7 0.609 0.782 0.363
Ni8 0.891 0.282 0.863
Nd1 0.000 0.000 0.000
Nd2 0.500 0.500 0.500

***

Entry 2:
Entry from Alexandria: a geometry-optimized AcRe2IO8 structure (PBE).

Results
* space-group type: P-3m1 (164)
* DOS at the Fermi energy: 0.000 states/eV/atom
* final energy: -93.74 eV/cell
* total magnetic moment: 0.13 μB/f.u.

Lattice parameters (Å, degrees): 7.153 7.153 6.681 90.00 90.00 120.00
Each line ends with the local moment (μB).
Fractional coordinates of all 12 atoms:
O1 0.667 0.333 0.468  0.00
O2 0.398 0.199 0.123  0.00
O3 0.333 0.667 0.532  0.00
O4 0.801 0.199 0.123  0.00
O5 0.199 0.801 0.877  0.00
O6 0.199 0.398 0.877  0.00
O7 0.801 0.602 0.123  0.00
O8 0.602 0.801 0.877  0.00
Re1 0.667 0.333 0.209  0.00
Re2 0.333 0.667 0.791  0.00
I1 0.000 0.000 0.500  -0.07
Ac1 0.000 0.000 0.000  0.00

***

Entry 3:
Entry from Alexandria: a geometry-optimized SrPtCl structure (PBE).

Results
* space-group type: F-43m (216)
* DOS at the Fermi energy: 0.710 states/eV/atom
* final energy: -11.31 eV/cell
* total magnetic moment: 0.00 μB/f.u.

Lattice parameters (Å, degrees): 4.901 4.901 4.901 60.00 60.00 60.00
Fractional coordinates of all 3 atoms:
Sr1 0.000 0.000 0.000
Cl1 0.500 0.500 0.500
Pt1 0.750 0.750 0.750

***

Entry 4:
Entry from Alexandria: a geometry-optimized Tb3Pm2HoEr6 structure (PBE).

Results
* space-group type: C2/m (12)
* DOS at the Fermi energy: 1.265 states/eV/atom
* ΔH_f (0 K): 2 kJ per mole of atoms
* total magnetic moment: 0.00 μB/f.u.

Lattice parameters (Å, degrees): 6.141 6.141 11.717 95.00 95.00 119.96
Fractional coordinates of all 12 atoms:
Er1 0.752 0.752 0.252
Er2 0.084 0.417 0.251
Er3 0.417 0.084 0.251
Er4 0.583 0.916 0.749
Er5 0.248 0.248 0.748
Er6 0.916 0.583 0.749
Tb1 0.833 0.167 0.500
Tb2 0.500 0.500 0.500
Tb3 0.167 0.833 0.500
Pm1 0.334 0.666 0.000
Pm2 0.666 0.334 0.000
Ho1 0.000 0.000 0.000

***

Entry 5:
Entry from Alexandria: a geometry-optimized HfTa2VRh structure (PBE).

Results
* space-group type: P4/mmm (123)
* DOS at the Fermi energy: 1.428 states/eV/atom
* ΔH_f (0 K): 175 kJ per mole of atoms
* total magnetic moment: 0.15 μB/f.u.

Lattice parameters (Å, degrees): 4.933 4.933 4.584 90.00 90.00 90.00
Each line ends with the local moment (μB).
Fractional coordinates of all 5 atoms:
Rh1 0.000 0.000 0.500  0.04
Ta1 0.000 0.500 0.000  0.05
Ta2 0.500 0.000 0.000  0.05
Hf1 0.000 0.000 0.000  -0.02
V1 0.500 0.500 0.500  -0.27

***

Entry 6:
Entry from Alexandria: a geometry-optimized ReAgP2 structure (PBE).

Results
* space-group type: Immm (71)
* DOS at the Fermi energy: 0.362 states/eV/atom
* ΔH_f (0 K): 36 kJ per mole of atoms
* total magnetic moment: 0.00 μB/f.u.

Lattice parameters (Å, degrees): 6.361 6.361 6.361 154.00 134.75 52.93
Fractional coordinates of all 4 atoms:
P1 0.585 0.585 0.000
P2 0.915 0.915 0.000
Ag1 0.250 0.750 0.500
Re1 0.750 0.250 0.500

***

Entry 7:
Entry from Alexandria: a geometry-optimized YCoTePb2 structure (PBE).

Results
* space-group type: P4/mmm (123)
* DOS at the Fermi energy: 1.136 states/eV/atom
* final energy: -21.50 eV/cell
* total magnetic moment: 1.17 μB/f.u.

Lattice parameters (Å, degrees): 5.995 4.528 5.995 90.00 90.00 90.00
Each line ends with the local moment (μB).
Fractional coordinates of all 5 atoms:
Te1 0.000 0.000 0.000  0.03
Pb1 0.000 0.000 0.500  0.00
Pb2 0.500 0.000 0.000  0.03
Y1 0.500 0.500 0.500  0.00
Co1 0.000 0.500 0.000  1.10

***

Entry 8:
Entry from Alexandria: a geometry-optimized CrSbSe2 structure (PBE).

Results
* space-group type: R3m (160)
* DOS at the Fermi energy: 0.590 states/eV/atom
* final energy: -20.94 eV/cell
* total magnetic moment: 2.56 μB/f.u.

Lattice parameters (Å, degrees): 8.849 8.849 8.849 23.38 23.38 23.38
Each line ends with the local moment (μB).
Fractional coordinates of all 4 atoms:
Cr1 0.503 0.503 0.503  2.66
Se1 0.020 0.020 0.020  -0.03
Se2 0.220 0.220 0.220  -0.15
Sb1 0.758 0.758 0.758  -0.03

***

> What is the DOS at the Fermi energy in the third record?

0.710 states/eV/atom

***

> Which formula does entry 6 have?

ReAgP2

***

> The highest total magnetic moment belongs to which entry?

CrSbSe2

***

> The highest total magnetic moment belongs to which entry?

CrSbSe2